(1)
A relaxed Pm3Y4Sc2 crystal. Source: the Alexandria database, functional PBE.

Results
Energy relative to the lowest polymorph listed for this composition   111 meV per atom
Size of the total moment   0.00 μB/f.u.
Density of states at the Fermi level   1.85 states/eV per atom
Energy of formation   3.62 kcal/mol of atoms

a = 9.7218 Å, b = 9.7218 Å, c = 6.1816 Å
α = 92.34°, β = 92.34°, γ = 81.65°
Element x y z (fractional)
Pm 0.0565 0.9435 0.7500
Pm 0.1846 0.6239 0.4021
Pm 0.3761 0.8154 0.0979
Pm 0.6239 0.1846 0.9021
Pm 0.8154 0.3761 0.5979
Pm 0.9435 0.0565 0.2500
Y 0.1489 0.2823 0.6154
Y 0.2823 0.1489 0.1154
Y 0.3349 0.4743 0.9305
Y 0.4743 0.3349 0.4305
Y 0.5257 0.6651 0.5695
Y 0.6651 0.5257 0.0695
Y 0.7177 0.8511 0.8846
Y 0.8511 0.7177 0.3846
Sc 0.0006 0.6178 0.8661
Sc 0.3822 0.9994 0.6339
Sc 0.6178 0.0006 0.3661
Sc 0.9994 0.3822 0.1339


(2)
A relaxed PmYSc crystal. Source: the Alexandria database, functional PBE.

Results
Energy relative to the lowest polymorph listed for this composition   139 meV per atom
Size of the total moment   0.00 μB/f.u.
Density of states at the Fermi level   1.82 states/eV per atom
Energy of formation   3.99 kcal/mol of atoms

a = 4.8121 Å, b = 4.8121 Å, c = 8.2105 Å
α = 98.44°, β = 98.44°, γ = 90.18°
Element x y z (fractional)
Pm 0.1731 0.1731 0.1921
Pm 0.8269 0.8269 0.8079
Y 0.3269 0.3269 0.8029
Y 0.6731 0.6731 0.1971
Sc 0.2505 0.7495 0.5000
Sc 0.7495 0.2505 0.5000


(3)
A relaxed Pm4Y5Sc2 crystal. Source: the Alexandria database, functional PBE.

Results
Energy relative to the lowest polymorph listed for this composition   0 meV per atom
Size of the total moment   0.00 μB/f.u.
Density of states at the Fermi level   1.68 states/eV per atom
Energy of formation   1.63 kcal/mol of atoms

a = 9.6385 Å, b = 9.6385 Å, c = 7.0046 Å
α = 95.68°, β = 95.68°, γ = 32.62°
Element x y z (fractional)
Pm 0.0596 0.0596 0.1988
Pm 0.3182 0.3182 0.6249
Pm 0.6818 0.6818 0.3751
Pm 0.9404 0.9404 0.8012
Y 0.1284 0.1284 0.6943
Y 0.2503 0.2503 0.1351
Y 0.5000 0.5000 0.5000
Y 0.7497 0.7497 0.8649
Y 0.8716 0.8716 0.3057
Sc 0.4240 0.4240 0.0617
Sc 0.5760 0.5760 0.9383


(4)
A relaxed Pm3YSc2 crystal. Source: the Alexandria database, functional PBE.

Results
Energy relative to the lowest polymorph listed for this composition   111 meV per atom
Size of the total moment   0.00 μB/f.u.
Density of states at the Fermi level   1.79 states/eV per atom
Energy of formation   6.24 kcal/mol of atoms

a = 8.7285 Å, b = 8.7285 Å, c = 5.5151 Å
α = 90.00°, β = 90.00°, γ = 68.22°
Element x y z (fractional)
Pm 0.0917 0.9083 0.7500
Pm 0.1099 0.3765 0.2500
Pm 0.3765 0.1099 0.7500
Pm 0.6235 0.8901 0.2500
Pm 0.8901 0.6235 0.7500
Pm 0.9083 0.0917 0.2500
Y 0.2766 0.7234 0.2500
Y 0.7234 0.2766 0.7500
Sc 0.3033 0.4886 0.7500
Sc 0.4886 0.3033 0.2500
Sc 0.5114 0.6967 0.7500
Sc 0.6967 0.5114 0.2500


(5)
A relaxed PmY2Sc crystal. Source: the Alexandria database, functional PBE.

Results
Energy relative to the lowest polymorph listed for this composition   8 meV per atom
Size of the total moment   0.00 μB/f.u.
Density of states at the Fermi level   1.49 states/eV per atom
Energy of formation   1.08 kcal/mol of atoms

a = 6.0959 Å, b = 7.0052 Å, c = 7.0161 Å
α = 60.12°, β = 73.27°, γ = 89.89°
Element x y z (fractional)
Pm 0.2451 0.3741 0.2519
Pm 0.7549 0.6259 0.7481
Y 0.2497 0.3723 0.7505
Y 0.2498 0.8770 0.7501
Y 0.7502 0.1230 0.2499
Y 0.7503 0.6277 0.2495
Sc 0.2579 0.8777 0.2447
Sc 0.7421 0.1223 0.7553


(6)
A relaxed Pm2Y8Sc3 crystal. Source: the Alexandria database, functional PBE.

Results
Energy relative to the lowest polymorph listed for this composition   0 meV per atom
Size of the total moment   0.00 μB/f.u.
Density of states at the Fermi level   1.47 states/eV per atom
Energy of formation   4.22 kcal/mol of atoms

a = 8.6990 Å, b = 8.6990 Å, c = 6.0012 Å
α = 108.88°, β = 108.88°, γ = 80.58°
Element x y z (fractional)
Pm 0.1790 0.1790 0.3460
Pm 0.8210 0.8210 0.6540
Y 0.0886 0.0886 0.7816
Y 0.1119 0.5747 0.3470
Y 0.3644 0.3644 0.8870
Y 0.4253 0.8881 0.6530
Y 0.5747 0.1119 0.3470
Y 0.6356 0.6356 0.1130
Y 0.8881 0.4253 0.6530
Y 0.9114 0.9114 0.2184
Sc 0.2356 0.7644 0.0000
Sc 0.5000 0.5000 0.5000
Sc 0.7644 0.2356 0.0000


(7)
A relaxed PmYSc crystal. Source: the Alexandria database, functional PBE.

Results
Energy relative to the lowest polymorph listed for this composition   0 meV per atom
Size of the total moment   0.00 μB/f.u.
Density of states at the Fermi level   1.69 states/eV per atom
Energy of formation   0.78 kcal/mol of atoms

a = 3.4787 Å, b = 5.2580 Å, c = 10.1224 Å
α = 90.00°, β = 99.87°, γ = 90.00°
Element x y z (fractional)
Pm 0.2044 0.2500 0.4095
Pm 0.7956 0.7500 0.5905
Y 0.3914 0.2500 0.7823
Y 0.6086 0.7500 0.2177
Sc 0.0378 0.2500 0.0772
Sc 0.9622 0.7500 0.9228


(8)
A relaxed PmY8Sc4 crystal. Source: the Alexandria database, functional PBE.

Results
Size of the total moment   0.00 μB/f.u.
Density of states at the Fermi level   1.39 states/eV per atom
Energy of formation   5.82 kcal/mol of atoms

a = 9.8018 Å, b = 9.8018 Å, c = 9.8018 Å
α = 42.71°, β = 42.71°, γ = 42.71°
Element x y z (fractional)
Pm 0.0000 0.0000 0.0000
Y 0.2517 0.2517 0.7053
Y 0.2517 0.7053 0.2517
Y 0.2817 0.2817 0.2817
Y 0.2947 0.7483 0.7483
Y 0.7053 0.2517 0.2517
Y 0.7183 0.7183 0.7183
Y 0.7483 0.2947 0.7483
Y 0.7483 0.7483 0.2947
Sc 0.0000 0.0000 0.5000
Sc 0.0000 0.5000 0.0000
Sc 0.5000 0.0000 0.0000
Sc 0.5000 0.5000 0.5000


(9)
A relaxed Pm12Y2Sc crystal. Source: the Alexandria database, functional PBE.

Results
Size of the total moment   0.00 μB/f.u.
Density of states at the Fermi level   1.37 states/eV per atom
Energy of formation   8.21 kcal/mol of atoms

a = 6.6241 Å, b = 6.6241 Å, c = 24.2877 Å
α = 90.00°, β = 90.00°, γ = 90.00°
Element x y z (fractional)
Pm 0.0016 0.5016 0.1009
Pm 0.0016 0.9984 0.8991
Pm 0.0831 0.5831 0.5641
Pm 0.0831 0.9169 0.4359
Pm 0.2500 0.2500 0.2035
Pm 0.2500 0.2500 0.3296
Pm 0.2500 0.2500 0.6704
Pm 0.2500 0.2500 0.7965
Pm 0.4169 0.5831 0.4359
Pm 0.4169 0.9169 0.5641
Pm 0.4984 0.5016 0.8991
Pm 0.4984 0.9984 0.1009
Pm 0.5016 0.0016 0.8991
Pm 0.5016 0.4984 0.1009
Pm 0.5831 0.0831 0.4359
Pm 0.5831 0.4169 0.5641
Pm 0.7500 0.7500 0.2035
Pm 0.7500 0.7500 0.3296
Pm 0.7500 0.7500 0.6704
Pm 0.7500 0.7500 0.7965
Pm 0.9169 0.0831 0.5641
Pm 0.9169 0.4169 0.4359
Pm 0.9984 0.0016 0.1009
Pm 0.9984 0.4984 0.8991
Y 0.2500 0.7500 0.2484
Y 0.2500 0.7500 0.7516
Y 0.7500 0.2500 0.2484
Y 0.7500 0.2500 0.7516
Sc 0.2500 0.7500 0.0000
Sc 0.7500 0.2500 0.0000


(10)
A relaxed Pm8YSc3 crystal. Source: the Alexandria database, functional PBE.

Results
Size of the total moment   0.00 μB/f.u.
Density of states at the Fermi level   1.49 states/eV per atom
Energy of formation   1.10 kcal/mol of atoms

a = 6.1591 Å, b = 7.9136 Å, c = 8.6674 Å
α = 111.17°, β = 90.14°, γ = 105.16°
Element x y z (fractional)
Pm 0.0000 0.0000 0.0000
Pm 0.0759 0.7544 0.5783
Pm 0.1610 0.5162 0.1651
Pm 0.4197 0.7558 0.9176
Pm 0.5025 0.5035 0.4946
Pm 0.5831 0.2633 0.0814
Pm 0.6597 0.0076 0.6595
Pm 0.9127 0.2472 0.4123
Y 0.2481 0.2581 0.7456
Sc 0.3296 0.0019 0.3290
Sc 0.7485 0.7585 0.2456
Sc 0.8314 0.5080 0.8334


(11)
A relaxed Pm6Y2Sc crystal. Source: the Alexandria database, functional PBE.

Results
Energy relative to the lowest polymorph listed for this composition   0 meV per atom
Size of the total moment   0.00 μB/f.u.
Density of states at the Fermi level   1.80 states/eV per atom
Energy of formation   1.50 kcal/mol of atoms

a = 3.6102 Å, b = 3.6102 Å, c = 26.6124 Å
α = 90.00°, β = 90.00°, γ = 120.00°
Element x y z (fractional)
Pm 0.0000 0.0000 0.0668
Pm 0.0000 0.0000 0.2842
Pm 0.0000 0.0000 0.7158
Pm 0.0000 0.0000 0.9332
Pm 0.3333 0.6667 0.3986
Pm 0.3333 0.6667 0.6014
Y 0.3333 0.6667 0.1739
Y 0.3333 0.6667 0.8261
Sc 0.0000 0.0000 0.5000


(12)
A relaxed PmY2Sc crystal. Source: the Alexandria database, functional PBE.

Results
Energy relative to the lowest polymorph listed for this composition   0 meV per atom
Size of the total moment   0.00 μB/f.u.
Density of states at the Fermi level   1.83 states/eV per atom
Energy of formation   0.89 kcal/mol of atoms

a = 6.6369 Å, b = 6.6369 Å, c = 6.1725 Å
α = 117.64°, β = 117.64°, γ = 31.46°
Element x y z (fractional)
Pm 0.0000 0.0000 0.0000
Y 0.5134 0.5134 0.5118
Y 0.7572 0.7572 0.4128
Sc 0.2566 0.2566 0.9189


(13)
A relaxed Pm3Y2Sc3 crystal. Source: the Alexandria database, functional PBE.

Results
Size of the total moment   0.00 μB/f.u.
Density of states at the Fermi level   1.59 states/eV per atom
Energy of formation   1.24 kcal/mol of atoms

a = 10.5450 Å, b = 10.5450 Å, c = 10.5450 Å
α = 153.59°, β = 152.65°, γ = 38.39°
Element x y z (fractional)
Pm 0.0000 0.0000 0.0000
Pm 0.3789 0.8789 0.5000
Pm 0.6211 0.1211 0.5000
Y 0.2479 0.2479 0.0000
Y 0.7521 0.7521 0.0000
Sc 0.1239 0.6239 0.5000
Sc 0.5000 0.5000 0.0000
Sc 0.8761 0.3761 0.5000


(14)
A relaxed Pm8Y2Sc crystal. Source: the Alexandria database, functional PBE.

Results
Energy relative to the lowest polymorph listed for this composition   0 meV per atom
Size of the total moment   0.00 μB/f.u.
Density of states at the Fermi level   1.49 states/eV per atom
Energy of formation   0.61 kcal/mol of atoms

a = 9.5247 Å, b = 9.5247 Å, c = 8.0443 Å
α = 104.60°, β = 104.60°, γ = 31.04°
Element x y z (fractional)
Pm 0.0449 0.0449 0.2309
Pm 0.1351 0.1351 0.6794
Pm 0.3197 0.3197 0.5898
Pm 0.4102 0.4102 0.0525
Pm 0.5898 0.5898 0.9475
Pm 0.6803 0.6803 0.4102
Pm 0.8649 0.8649 0.3206
Pm 0.9551 0.9551 0.7691
Y 0.2258 0.2258 0.1347
Y 0.7742 0.7742 0.8653
Sc 0.5000 0.5000 0.5000


(15)
A relaxed Pm2Y7Sc2 crystal. Source: the Alexandria database, functional PBE.

Results
Energy relative to the lowest polymorph listed for this composition   18 meV per atom
Size of the total moment   0.00 μB/f.u.
Density of states at the Fermi level   1.60 states/eV per atom
Energy of formation   2.70 kcal/mol of atoms

a = 3.5647 Å, b = 9.9133 Å, c = 10.9916 Å
α = 67.91°, β = 80.68°, γ = 79.72°
Element x y z (fractional)
Pm 0.0049 0.2873 0.2060
Pm 0.9951 0.7127 0.7940
Y 0.1556 0.3231 0.8691
Y 0.3287 0.9650 0.8760
Y 0.3361 0.4255 0.4027
Y 0.5000 0.0000 0.5000
Y 0.6639 0.5745 0.5973
Y 0.6713 0.0350 0.1240
Y 0.8444 0.6769 0.1309
Sc 0.1815 0.7873 0.3495
Sc 0.8185 0.2127 0.6505


(16)
A relaxed Pm6YSc8 crystal. Source: the Alexandria database, functional PBE.

Results
Size of the total moment   0.00 μB/f.u.
Density of states at the Fermi level   1.64 states/eV per atom
Energy of formation   4.32 kcal/mol of atoms

a = 7.9317 Å, b = 7.9317 Å, c = 7.9317 Å
α = 71.68°, β = 71.68°, γ = 71.68°
Element x y z (fractional)
Pm 0.1686 0.4270 0.6212
Pm 0.3788 0.8314 0.5730
Pm 0.4270 0.6212 0.1686
Pm 0.5730 0.3788 0.8314
Pm 0.6212 0.1686 0.4270
Pm 0.8314 0.5730 0.3788
Y 0.0000 0.0000 0.0000
Sc 0.0489 0.8712 0.3813
Sc 0.1288 0.6187 0.9511
Sc 0.2260 0.2260 0.2260
Sc 0.3813 0.0489 0.8712
Sc 0.6187 0.9511 0.1288
Sc 0.7740 0.7740 0.7740
Sc 0.8712 0.3813 0.0489
Sc 0.9511 0.1288 0.6187


(17)
A relaxed Pm4YSc2 crystal. Source: the Alexandria database, functional PBE.

Results
Energy relative to the lowest polymorph listed for this composition   0 meV per atom
Size of the total moment   0.00 μB/f.u.
Density of states at the Fermi level   1.63 states/eV per atom
Energy of formation   4.19 kcal/mol of atoms

a = 8.7880 Å, b = 6.3604 Å, c = 9.0694 Å
α = 90.00°, β = 118.87°, γ = 90.00°
Element x y z (fractional)
Pm 0.0017 0.2500 0.2291
Pm 0.0462 0.7500 0.4210
Pm 0.3802 0.0020 0.7669
Pm 0.3802 0.4980 0.7669
Pm 0.6198 0.5020 0.2331
Pm 0.6198 0.9980 0.2331
Pm 0.9538 0.2500 0.5790
Pm 0.9983 0.7500 0.7709
Y 0.2424 0.7500 0.1906
Y 0.7576 0.2500 0.8094
Sc 0.2061 0.2500 0.0044
Sc 0.4233 0.2500 0.4316
Sc 0.5767 0.7500 0.5684
Sc 0.7939 0.7500 0.9956


(18)
A relaxed Pm6Y2Sc crystal. Source: the Alexandria database, functional PBE.

Results
Energy relative to the lowest polymorph listed for this composition   94 meV per atom
Size of the total moment   0.00 μB/f.u.
Density of states at the Fermi level   1.58 states/eV per atom
Energy of formation   3.66 kcal/mol of atoms

a = 6.2009 Å, b = 6.2009 Å, c = 8.5577 Å
α = 103.85°, β = 103.85°, γ = 71.45°
Element x y z (fractional)
Pm 0.1685 0.1685 0.5903
Pm 0.1801 0.7050 0.7893
Pm 0.2950 0.8199 0.2107
Pm 0.7050 0.1801 0.7893
Pm 0.8199 0.2950 0.2107
Pm 0.8315 0.8315 0.4097
Y 0.2761 0.2761 0.0410
Y 0.7239 0.7239 0.9590
Sc 0.5000 0.5000 0.5000


(19)
A relaxed Pm2Y2Sc3 crystal. Source: the Alexandria database, functional PBE.

Results
Size of the total moment   0.00 μB/f.u.
Density of states at the Fermi level   1.71 states/eV per atom
Energy of formation   3.49 kcal/mol of atoms

a = 6.4468 Å, b = 12.0497 Å, c = 5.3955 Å
α = 90.00°, β = 90.00°, γ = 90.00°
Element x y z (fractional)
Pm 0.1119 0.1963 0.0000
Pm 0.3881 0.6963 0.0000
Pm 0.6119 0.3037 0.0000
Pm 0.8881 0.8037 0.0000
Y 0.0292 0.6452 0.5000
Y 0.4708 0.1452 0.5000
Y 0.5292 0.8548 0.5000
Y 0.9708 0.3548 0.5000
Sc 0.0000 0.0000 0.5000
Sc 0.2203 0.4685 0.0000
Sc 0.2797 0.9685 0.0000
Sc 0.5000 0.5000 0.5000
Sc 0.7203 0.0315 0.0000
Sc 0.7797 0.5315 0.0000


(20)
A relaxed PmY4Sc3 crystal. Source: the Alexandria database, functional PBE.

Results
Energy relative to the lowest polymorph listed for this composition   0 meV per atom
Size of the total moment   0.00 μB/f.u.
Density of states at the Fermi level   2.23 states/eV per atom
Energy of formation   4.30 kcal/mol of atoms

a = 8.6261 Å, b = 8.6261 Å, c = 8.6261 Å
α = 157.66°, β = 98.55°, γ = 85.78°
Element x y z (fractional)
Pm 0.0000 0.0000 0.0000
Y 0.1229 0.8678 0.2551
Y 0.3874 0.1322 0.2551
Y 0.6126 0.8678 0.7449
Y 0.8771 0.1322 0.7449
Sc 0.2408 0.7408 0.5000
Sc 0.5000 0.5000 0.0000
Sc 0.7592 0.2592 0.5000